{
  "formula": "NaCo3C4O12",
  "functional": "PBE with a Hubbard U",
  "state": "relaxed",
  "lattice": [[6.134, 0.045, 0.063], [-1.434, 5.964, 0.063], [-1.434, -1.833, 5.676]],
  "species": ["C", "C", "C", "C", "O", "O", "O", "O", "O", "O", "O", "O", "O", "O", "O", "O", "Co", "Co", "Co", "Na"],
  "fractional_positions": [[0.500, 0.958, 0.042], [0.958, 0.042, 0.500], [0.042, 0.500, 0.958], [0.500, 0.500, 0.500], [0.609, 0.804, 0.011], [0.500, 0.365, 0.635], [0.905, 0.500, 0.095], [0.804, 0.011, 0.609], [0.011, 0.609, 0.804], [0.989, 0.196, 0.391], [0.196, 0.391, 0.989], [0.500, 0.095, 0.905], [0.391, 0.989, 0.196], [0.095, 0.905, 0.500], [0.365, 0.635, 0.500], [0.635, 0.500, 0.365], [0.539, 0.461, 0.000], [0.000, 0.539, 0.461], [0.461, 0.000, 0.539], [0.000, 0.000, 0.000]],
  "final_energy_ev_per_atom": -6.9631,
  "crystal_system": "trigonal",
  "spacegroup": "R32, No. 155",
  "dos_at_fermi_per_ev_cell": 6.44
}